(one)
First-principles (PBE) data for crystalline NaZr2Fe at its relaxed geometry, as listed in Alexandria via LeMat-Bulk.

Output
- SG: No. 225
- Crystal system: cubic

Cell lengths 4.7071, 4.7071, 4.7071 Å; angles 60.00, 60.00, 60.00 degrees
Closest atoms and distances in Å follow each position.
Fractional positions:
Zr 0.2500 0.2500 0.2500  4 Fe 2.88, 4 Na 2.88
Zr 0.7500 0.7500 0.7500  4 Fe 2.88, 4 Na 2.88
Fe 0.5000 0.5000 0.5000  8 Zr 2.88
Na 0.0000 0.0000 0.0000  8 Zr 2.88

(two)
First-principles (PBE) data for crystalline NaZr2Fe at its relaxed geometry, as listed in Alexandria via LeMat-Bulk.

Output
- SG: No. 141
- Crystal system: tetragonal

Cell lengths 6.4954, 6.4954, 7.8769 Å; angles 65.65, 65.65, 90.00 degrees
Closest atoms and distances in Å follow each position.
Fractional positions:
Fe 0.0000 0.0000 0.0000  4 Zr 2.28
Zr 0.8750 0.1249 0.7500  2 Fe 2.28
Zr 0.3750 0.1251 0.7500  2 Fe 2.28
Zr 0.8749 0.1250 0.2500  2 Fe 2.28
Na 0.2500 0.7500 0.5000  8 Zr 3.97
Na 0.5000 0.5000 0.0000  8 Zr 3.97
Fe 0.7500 0.2500 0.5000  4 Zr 2.28
Zr 0.8751 0.6250 0.2500  2 Fe 2.28

Which structure is the most stable? The one labeled (one).

(one)
First-principles (PBE) data for crystalline Nb4Fe at its relaxed geometry, as listed in Alexandria via LeMat-Bulk.

Output
- SG: No. 221
- Crystal system: cubic

Cell lengths 4.5859, 4.5859, 4.5859 Å; angles 90.00, 90.00, 90.00 degrees
Closest atoms and distances in Å follow each position.
Fractional positions:
Nb 0.5000 0.0000 0.5000  2 Fe 2.29
Fe 0.5000 0.5000 0.5000  6 Nb 2.29
Nb 0.0000 0.5000 0.5000  2 Fe 2.29
Nb 0.5000 0.5000 0.0000  2 Fe 2.29
Nb 0.0000 0.0000 0.0000  12 Nb 3.24

(two)
First-principles (PBE) data for crystalline Nb4Fe at its relaxed geometry, as listed in Alexandria via LeMat-Bulk.

Output
- SG: No. 88
- Crystal system: tetragonal

Cell lengths 5.4391, 5.4391, 7.0585 Å; angles 112.66, 112.66, 90.00 degrees
Closest atoms and distances in Å follow each position.
Fractional positions:
Nb 0.4309 0.8212 0.1515  2 Fe 2.54-2.61, 2 Nb 2.83
Fe 0.0000 0.0000 0.0000  8 Nb 2.54-2.61
Nb 0.0802 0.6809 0.6515  2 Fe 2.54-2.61, 2 Nb 2.83
Fe 0.7500 0.2500 0.5000  8 Nb 2.54-2.61
Nb 0.1788 0.2794 0.8485  2 Fe 2.54-2.61, 2 Nb 2.83
Nb 0.7206 0.3302 0.1515  2 Fe 2.54-2.61, 2 Nb 2.83
Nb 0.6698 0.5691 0.8485  2 Fe 2.54-2.61, 2 Nb 2.83
Nb 0.5712 0.9706 0.6515  2 Fe 2.54-2.61, 2 Nb 2.83
Nb 0.0294 0.9198 0.3485  2 Fe 2.54-2.61, 2 Nb 2.83
Nb 0.3191 0.4288 0.3485  2 Fe 2.54-2.61, 2 Nb 2.83

Which structure is the most stable? The one labeled (two).

(one)
First-principles (PBE) data for crystalline NbFeNi at its relaxed geometry, as listed in Alexandria via LeMat-Bulk.

Output
- SG: No. 166
- Crystal system: trigonal

Cell lengths 4.1084, 4.1084, 6.3775 Å; angles 71.21, 71.21, 60.00 degrees
Closest atoms and distances in Å follow each position.
Fractional positions:
Ni 0.1439 0.1439 0.5683  3 Ni 2.51, 1 Fe 2.54, 3 Nb 2.58
Fe 0.2870 0.2870 0.1392  4 Nb 2.38-2.48, 1 Ni 2.54
Nb 0.5792 0.5792 0.2623  4 Fe 2.38-2.48, 3 Ni 2.58
Nb 0.4208 0.4208 0.7377  4 Fe 2.38-2.48, 3 Ni 2.58
Ni 0.8561 0.8561 0.4317  3 Ni 2.51, 1 Fe 2.54, 3 Nb 2.58
Fe 0.7130 0.7130 0.8608  4 Nb 2.38-2.48, 1 Ni 2.54

(two)
First-principles (PBE) data for crystalline NbFeNi at its relaxed geometry, as listed in Alexandria via LeMat-Bulk.

Output
- SG: No. 74
- Crystal system: orthorhombic

Cell lengths 4.8220, 4.8220, 4.8220 Å; angles 89.16, 120.82, 120.15 degrees
Closest atoms and distances in Å follow each position.
Fractional positions:
Ni 0.0000 0.5000 0.5000  2 Ni 2.41, 4 Fe 2.41
Nb 0.7500 0.8735 0.1235  6 Ni 2.80-2.85, 6 Fe 2.82-2.83, 4 Nb 2.94-2.95
Fe 0.0000 0.5000 0.0000  2 Fe 2.38, 4 Ni 2.41
Nb 0.2500 0.1265 0.8765  6 Ni 2.80-2.85, 6 Fe 2.82-2.83, 4 Nb 2.94-2.95
Fe 0.5000 0.5000 0.5000  2 Fe 2.38, 4 Ni 2.41
Ni 0.5000 0.0000 0.5000  2 Ni 2.41, 4 Fe 2.41

Which structure is the most stable? The one labeled (two).

(one)
First-principles (PBE) data for crystalline NbFeNi at its relaxed geometry, as listed in Alexandria via LeMat-Bulk.

Output
- SG: No. 187
- Crystal system: hexagonal

Cell lengths 2.6184, 4.2481, 4.2481 Å; angles 120.00, 90.00, 90.00 degrees
Closest atoms and distances in Å follow each position.
Fractional positions:
Nb 0.6666 0.3333 0.6667  2 Nb 2.62, 6 Fe 2.78, 6 Ni 2.78
Ni 0.1664 0.6667 0.3333  3 Fe 2.45, 2 Ni 2.62
Fe 0.1669 0.0000 0.0000  3 Ni 2.45, 2 Fe 2.62

(two)
First-principles (PBE) data for crystalline NbFeNi at its relaxed geometry, as listed in Alexandria via LeMat-Bulk.

Output
- SG: No. 63
- Crystal system: orthorhombic

Cell lengths 3.3371, 3.9001, 6.3331 Å; angles 90.00, 105.28, 90.00 degrees
Closest atoms and distances in Å follow each position.
Fractional positions:
Fe 0.5824 0.2500 0.1649  6 Nb 2.57-2.74, 2 Ni 2.58, 2 Fe 2.80
Ni 0.7561 0.7500 0.5123  4 Ni 2.57, 4 Nb 2.58-2.67, 2 Fe 2.58
Nb 0.0952 0.7500 0.1903  6 Fe 2.57-2.74, 4 Ni 2.58-2.67
Ni 0.2439 0.2500 0.4877  4 Ni 2.57, 4 Nb 2.58-2.67, 2 Fe 2.58
Nb 0.9048 0.2500 0.8097  6 Fe 2.57-2.74, 4 Ni 2.58-2.67
Fe 0.4176 0.7500 0.8351  6 Nb 2.57-2.74, 2 Ni 2.58, 2 Fe 2.80

Which structure is the most stable? The one labeled (two).

(one)
First-principles (PBE) data for crystalline NbFeNi6 at its relaxed geometry, as listed in Alexandria via LeMat-Bulk.

Output
- SG: No. 65
- Crystal system: orthorhombic

Cell lengths 6.2688, 6.2688, 10.2293 Å; angles 90.00, 90.00, 109.53 degrees
Closest atoms and distances in Å follow each position.
Fractional positions:
Ni 0.8694 0.6222 0.6272  8 Ni 2.53-2.60, 1 Fe 2.55, 3 Nb 2.58-2.59
Fe 0.2460 0.7540 0.0000  12 Ni 2.52-2.60
Ni 0.6222 0.8694 0.6272  8 Ni 2.53-2.60, 1 Fe 2.55, 3 Nb 2.58-2.59
Nb 0.2456 0.7544 0.5000  12 Ni 2.51-2.61
Ni 0.0000 0.0000 0.5000  4 Nb 2.51-2.61, 8 Ni 2.58
Ni 0.6200 0.8724 0.1226  8 Ni 2.51-2.58, 3 Fe 2.52-2.54, 1 Nb 2.57
Nb 0.0000 0.0000 0.2450  12 Ni 2.51-2.61
Ni 0.5000 0.5000 0.0000  4 Fe 2.49-2.60, 8 Ni 2.53
Nb 0.7544 0.2456 0.5000  12 Ni 2.51-2.61
Ni 0.2522 0.7478 0.7534  8 Ni 2.52-2.60, 2 Fe 2.52-2.54, 2 Nb 2.58-2.59
Ni 0.0000 0.0000 0.0000  2 Nb 2.51, 2 Fe 2.52, 8 Ni 2.57
Ni 0.7478 0.2522 0.2466  8 Ni 2.52-2.60, 2 Fe 2.52-2.54, 2 Nb 2.58-2.59
Ni 0.5000 0.5000 0.5000  8 Ni 2.54, 2 Nb 2.61, 2 Fe 2.62
Ni 0.8724 0.6200 0.8774  8 Ni 2.51-2.58, 3 Fe 2.52-2.54, 1 Nb 2.57
Ni 0.1306 0.3778 0.6272  8 Ni 2.53-2.60, 1 Fe 2.55, 3 Nb 2.58-2.59
Ni 0.6200 0.8724 0.8774  8 Ni 2.51-2.58, 3 Fe 2.52-2.54, 1 Nb 2.57
Ni 0.6222 0.8694 0.3728  8 Ni 2.53-2.60, 1 Fe 2.55, 3 Nb 2.58-2.59
Ni 0.3778 0.1306 0.3728  8 Ni 2.53-2.60, 1 Fe 2.55, 3 Nb 2.58-2.59
Ni 0.8694 0.6222 0.3728  8 Ni 2.53-2.60, 1 Fe 2.55, 3 Nb 2.58-2.59
Ni 0.1306 0.3778 0.3728  8 Ni 2.53-2.60, 1 Fe 2.55, 3 Nb 2.58-2.59
Ni 0.7478 0.2522 0.7534  8 Ni 2.52-2.60, 2 Fe 2.52-2.54, 2 Nb 2.58-2.59
Ni 0.3778 0.1306 0.6272  8 Ni 2.53-2.60, 1 Fe 2.55, 3 Nb 2.58-2.59
Ni 0.2522 0.7478 0.2466  8 Ni 2.52-2.60, 2 Fe 2.52-2.54, 2 Nb 2.58-2.59
Ni 0.8724 0.6200 0.1226  8 Ni 2.51-2.58, 3 Fe 2.52-2.54, 1 Nb 2.57
Fe 0.7540 0.2460 0.0000  12 Ni 2.52-2.60
Fe 0.5000 0.5000 0.7563  12 Ni 2.49-2.62
Ni 0.1276 0.3800 0.1226  8 Ni 2.51-2.58, 3 Fe 2.52-2.54, 1 Nb 2.57
Ni 0.3800 0.1276 0.8774  8 Ni 2.51-2.58, 3 Fe 2.52-2.54, 1 Nb 2.57
Ni 0.3800 0.1276 0.1226  8 Ni 2.51-2.58, 3 Fe 2.52-2.54, 1 Nb 2.57
Ni 0.1276 0.3800 0.8774  8 Ni 2.51-2.58, 3 Fe 2.52-2.54, 1 Nb 2.57
Nb 0.0000 0.0000 0.7550  12 Ni 2.51-2.61
Fe 0.5000 0.5000 0.2437  12 Ni 2.49-2.62

(two)
First-principles (PBE) data for crystalline NbFeNi6 at its relaxed geometry, as listed in Alexandria via LeMat-Bulk.

Output
- SG: No. 12
- Crystal system: monoclinic

Cell lengths 4.3623, 4.3623, 6.4819 Å; angles 74.75, 74.75, 65.68 degrees
Closest atoms and distances in Å follow each position.
Fractional positions:
Ni 0.3563 0.3563 0.9404  7 Ni 2.46-2.75, 3 Fe 2.52-2.67, 1 Nb 2.72
Ni 0.5436 0.0589 0.2969  5 Ni 2.29-2.51, 1 Fe 2.36, 2 Nb 2.50-2.52
Ni 0.6437 0.6437 0.0596  7 Ni 2.46-2.75, 3 Fe 2.52-2.67, 1 Nb 2.72
Ni 0.0589 0.5436 0.2969  5 Ni 2.29-2.51, 1 Fe 2.36, 2 Nb 2.50-2.52
Ni 0.4564 0.9411 0.7031  5 Ni 2.29-2.51, 1 Fe 2.36, 2 Nb 2.50-2.52
Nb 0.5000 0.5000 0.5000  10 Ni 2.50-2.72
Fe 0.0000 0.0000 0.0000  6 Ni 2.36-2.52
Ni 0.9411 0.4564 0.7031  5 Ni 2.29-2.51, 1 Fe 2.36, 2 Nb 2.50-2.52

Which structure is the most stable? The one labeled (one).

(one)
First-principles (PBE) data for crystalline Nb2Fe2Ni15 at its relaxed geometry, as listed in Alexandria via LeMat-Bulk.

Output
- SG: No. 166
- Crystal system: trigonal

Cell lengths 6.1465, 6.1465, 6.1465 Å; angles 82.09, 82.09, 82.09 degrees
Closest atoms and distances in Å follow each position.
Fractional positions:
Ni 0.6531 0.1614 0.6531  8 Ni 2.31-2.48, 1 Fe 2.56
Ni 0.5000 0.0000 0.0000  8 Ni 2.35-2.37, 2 Fe 2.47
Ni 0.6531 0.6531 0.1614  8 Ni 2.31-2.48, 1 Fe 2.56
Nb 0.6585 0.6585 0.6585  15 Ni 2.78-3.08, 1 Fe 2.93
Fe 0.0977 0.0977 0.0977  1 Fe 2.35, 6 Ni 2.47-2.56
Ni 0.8386 0.3469 0.3469  8 Ni 2.31-2.48, 1 Fe 2.56
Nb 0.3415 0.3415 0.3415  15 Ni 2.78-3.08, 1 Fe 2.93
Ni 0.6885 0.0000 0.3115  8 Ni 2.37-2.51
Ni 0.1614 0.6531 0.6531  8 Ni 2.31-2.48, 1 Fe 2.56
Ni 0.6885 0.3115 0.0000  8 Ni 2.37-2.51
Ni 0.0000 0.0000 0.5000  8 Ni 2.35-2.37, 2 Fe 2.47
Ni 0.0000 0.3115 0.6885  8 Ni 2.37-2.51
Ni 0.3115 0.6885 0.0000  8 Ni 2.37-2.51
Ni 0.3115 0.0000 0.6885  8 Ni 2.37-2.51
Ni 0.3469 0.3469 0.8386  8 Ni 2.31-2.48, 1 Fe 2.56
Ni 0.0000 0.5000 0.0000  8 Ni 2.35-2.37, 2 Fe 2.47
Ni 0.0000 0.6885 0.3115  8 Ni 2.37-2.51
Ni 0.3469 0.8386 0.3469  8 Ni 2.31-2.48, 1 Fe 2.56
Fe 0.9023 0.9023 0.9023  1 Fe 2.35, 6 Ni 2.47-2.56

(two)
First-principles (PBE) data for crystalline Nb2Fe2Ni15 at its relaxed geometry, as listed in Alexandria via LeMat-Bulk.

Output
- SG: No. 166
- Crystal system: trigonal

Cell lengths 6.2421, 6.2421, 6.2421 Å; angles 81.94, 81.94, 81.94 degrees
Closest atoms and distances in Å follow each position.
Fractional positions:
Ni 0.3450 0.8279 0.3450  8 Ni 2.29-2.49
Ni 0.5000 0.0000 0.0000  8 Ni 2.41-2.43, 2 Nb 2.47
Nb 0.8922 0.8922 0.8922  6 Ni 2.47-2.57, 1 Nb 2.64
Ni 0.1721 0.6550 0.6550  8 Ni 2.29-2.49
Ni 0.6792 0.0000 0.3208  8 Ni 2.43-2.63
Ni 0.6550 0.6550 0.1721  8 Ni 2.29-2.49
Fe 0.3758 0.3758 0.3758  12 Ni 2.70-2.83
Ni 0.0000 0.3208 0.6792  8 Ni 2.43-2.63
Ni 0.3208 0.0000 0.6792  8 Ni 2.43-2.63
Ni 0.0000 0.6792 0.3208  8 Ni 2.43-2.63
Ni 0.0000 0.5000 0.0000  8 Ni 2.41-2.43, 2 Nb 2.47
Fe 0.6242 0.6242 0.6242  12 Ni 2.70-2.83
Ni 0.8279 0.3450 0.3450  8 Ni 2.29-2.49
Ni 0.6792 0.3208 0.0000  8 Ni 2.43-2.63
Ni 0.3208 0.6792 0.0000  8 Ni 2.43-2.63
Ni 0.0000 0.0000 0.5000  8 Ni 2.41-2.43, 2 Nb 2.47
Ni 0.6550 0.1721 0.6550  8 Ni 2.29-2.49
Ni 0.3450 0.3450 0.8279  8 Ni 2.29-2.49
Nb 0.1078 0.1078 0.1078  6 Ni 2.47-2.57, 1 Nb 2.64

Which structure is the most stable? The one labeled (one).

(one)
First-principles (PBE) data for crystalline NbFe2Ni2 at its relaxed geometry, as listed in Alexandria via LeMat-Bulk.

Output
- SG: No. 127
- Crystal system: tetragonal

Cell lengths 6.9606, 6.9606, 2.5997 Å; angles 90.00, 90.00, 90.00 degrees
Closest atoms and distances in Å follow each position.
Fractional positions:
Fe 0.3792 0.8792 0.0000  3 Fe 2.38-2.60, 6 Ni 2.41-2.45
Fe 0.8792 0.6208 0.0000  3 Fe 2.38-2.60, 6 Ni 2.41-2.45
Ni 0.3263 0.1737 0.5000  6 Fe 2.41-2.45, 2 Ni 2.60
Ni 0.8263 0.3263 0.5000  6 Fe 2.41-2.45, 2 Ni 2.60
Ni 0.6737 0.8263 0.5000  6 Fe 2.41-2.45, 2 Ni 2.60
Nb 0.0000 0.0000 0.0000  2 Nb 2.60, 4 Fe 2.77, 8 Ni 2.88
Nb 0.5000 0.5000 0.0000  2 Nb 2.60, 4 Fe 2.77, 8 Ni 2.88
Ni 0.1737 0.6737 0.5000  6 Fe 2.41-2.45, 2 Ni 2.60
Fe 0.1208 0.3792 0.0000  3 Fe 2.38-2.60, 6 Ni 2.41-2.45
Fe 0.6208 0.1208 0.0000  3 Fe 2.38-2.60, 6 Ni 2.41-2.45

(two)
First-principles (PBE) data for crystalline NbFe2Ni2 at its relaxed geometry, as listed in Alexandria via LeMat-Bulk.

Output
- SG: No. 139
- Crystal system: tetragonal

Cell lengths 3.4645, 3.4645, 5.9577 Å; angles 73.10, 73.10, 90.00 degrees
Closest atoms and distances in Å follow each position.
Fractional positions:
Fe 0.6011 0.6011 0.7978  1 Fe 2.20, 4 Ni 2.37
Nb 0.0000 0.0000 0.0000  8 Fe 2.68
Ni 0.2500 0.7500 0.5000  4 Fe 2.37, 4 Ni 2.45
Ni 0.7500 0.2500 0.5000  4 Fe 2.37, 4 Ni 2.45
Fe 0.3989 0.3989 0.2023  1 Fe 2.20, 4 Ni 2.37

(three)
First-principles (PBE) data for crystalline NbFe2Ni2 at its relaxed geometry, as listed in Alexandria via LeMat-Bulk.

Output
- SG: No. 139
- Crystal system: tetragonal

Cell lengths 3.4655, 3.4655, 6.0094 Å; angles 73.24, 73.24, 90.00 degrees
Closest atoms and distances in Å follow each position.
Fractional positions:
Fe 0.2500 0.7500 0.5000  4 Ni 2.38, 4 Fe 2.45
Ni 0.3980 0.3980 0.2039  1 Ni 2.24, 4 Fe 2.38
Nb 0.0000 0.0000 0.0000  8 Ni 2.69
Fe 0.7500 0.2500 0.5000  4 Ni 2.38, 4 Fe 2.45
Ni 0.6020 0.6020 0.7961  1 Ni 2.24, 4 Fe 2.38

Which structure is the most stable? The one labeled (one).

(one)
First-principles (PBE) data for crystalline NpNb2Fe at its relaxed geometry, as listed in Alexandria via LeMat-Bulk.

Output
- SG: No. 166
- Crystal system: trigonal

Cell lengths 2.8711, 2.8711, 10.1173 Å; angles 81.84, 81.84, 60.00 degrees
Closest atoms and distances in Å follow each position.
Fractional positions:
Fe 0.5000 0.5000 0.5000  6 Nb 2.67, 6 Fe 2.87
Nb 0.0969 0.0969 0.7092  3 Fe 2.67, 6 Nb 2.87, 1 Np 2.90
Nb 0.9031 0.9031 0.2908  3 Fe 2.67, 6 Nb 2.87, 1 Np 2.90
Np 0.0000 0.0000 0.0000  6 Np 2.87, 2 Nb 2.90

(two)
First-principles (PBE) data for crystalline NpNb2Fe at its relaxed geometry, as listed in Alexandria via LeMat-Bulk.

Output
- SG: No. 225
- Crystal system: cubic

Cell lengths 4.5954, 4.5954, 4.5954 Å; angles 60.00, 60.00, 60.00 degrees
Closest atoms and distances in Å follow each position.
Fractional positions:
Fe 0.5000 0.5000 0.5000  8 Nb 2.81
Np 0.0000 0.0000 0.0000  8 Nb 2.81
Nb 0.2500 0.2500 0.2500  4 Fe 2.81, 4 Np 2.81
Nb 0.7500 0.7500 0.7500  4 Fe 2.81, 4 Np 2.81

(three)
First-principles (PBE) data for crystalline NpNb2Fe at its relaxed geometry, as listed in Alexandria via LeMat-Bulk.

Output
- SG: No. 123
- Crystal system: tetragonal

Cell lengths 3.0081, 3.0081, 7.7627 Å; angles 90.00, 90.00, 90.00 degrees
Closest atoms and distances in Å follow each position.
Fractional positions:
Nb 0.0000 0.0000 0.7969  4 Fe 2.65
Np 0.5000 0.5000 0.5000  4 Np 3.01, 8 Nb 3.14
Nb 0.0000 0.0000 0.2031  4 Fe 2.65
Fe 0.5000 0.5000 0.0000  8 Nb 2.65

Which structure is the most stable? The one labeled (three).